No. 1
A plane-wave DFT calculation with PBE was carried out for crystalline Na4ErU3N8 at its relaxed geometry.

Calculated values
Symmetry: No. 166
Theoretical density in Mg/m³: 7.54
V in Å³/cell: 239.0
Uncorrected energy in eV/cell: -127.69
Formation energy (no corrections) in eV/atom: -1.09

The structure in POSCAR format:
```
Na4ErU3N8
1.0
-3.419 -6.017 -0.857
3.868 -2.910 4.997
-3.540 5.868 1.293
Na Er U N
4 1 3 8
Direct
0.500 0.000 0.000
0.500 0.000 0.500
0.000 0.000 0.000
0.000 0.000 0.500
0.000 0.500 0.000
0.500 0.500 0.000
0.500 0.500 0.500
0.000 0.500 0.500
0.238 0.682 0.944
0.238 0.682 0.476
0.271 0.314 0.543
0.705 0.682 0.944
0.295 0.318 0.056
0.729 0.686 0.457
0.762 0.318 0.524
0.762 0.318 0.056
```



No. 2
A plane-wave DFT calculation with PBE was carried out for crystalline LiHo3In4Te8 at its relaxed geometry.

Calculated values
Symmetry: No. 166
Theoretical density in Mg/m³: 6.39
V in Å³/cell: 515.2
Uncorrected energy in eV/cell: -64.96
Formation energy (no corrections) in eV/atom: -0.83

The structure in POSCAR format:
```
LiHo3In4Te8
1.0
-3.216 -7.238 3.864
5.723 1.242 7.090
-5.425 6.572 -2.254
Li Ho In Te
1 3 4 8
Direct
0.000 0.500 0.000
0.500 0.500 0.000
0.500 0.500 0.500
0.000 0.500 0.500
0.500 0.000 0.000
0.500 0.000 0.500
0.000 0.000 0.000
0.000 0.000 0.500
0.247 0.731 0.984
0.248 0.732 0.496
0.258 0.273 0.516
0.736 0.731 0.984
0.264 0.269 0.016
0.742 0.727 0.484
0.752 0.268 0.504
0.753 0.269 0.016
```



> Which of these has the highest theoretical density?

Na4ErU3N8



Repeat the first record exactly.
A plane-wave DFT calculation with PBE was carried out for crystalline Na4ErU3N8 at its relaxed geometry.

Calculated values
Symmetry: No. 166
Theoretical density in Mg/m³: 7.54
V in Å³/cell: 239.0
Uncorrected energy in eV/cell: -127.69
Formation energy (no corrections) in eV/atom: -1.09

The structure in POSCAR format:
```
Na4ErU3N8
1.0
-3.419 -6.017 -0.857
3.868 -2.910 4.997
-3.540 5.868 1.293
Na Er U N
4 1 3 8
Direct
0.500 0.000 0.000
0.500 0.000 0.500
0.000 0.000 0.000
0.000 0.000 0.500
0.000 0.500 0.000
0.500 0.500 0.000
0.500 0.500 0.500
0.000 0.500 0.500
0.238 0.682 0.944
0.238 0.682 0.476
0.271 0.314 0.543
0.705 0.682 0.944
0.295 0.318 0.056
0.729 0.686 0.457
0.762 0.318 0.524
0.762 0.318 0.056
```